# AcMn4O12

A relaxed structure of AcMn4O12 (PBE with a Hubbard U, Alexandria via LeMat-Bulk).

Values from the calculation:
Calculated density ... 5.19 g/cm3
Energy ... -6.522 eV per atom
Fermi-level density of states ... 0.713 states/eV/atom

a = 7.422 Å, b = 7.422 Å, c = 7.422 Å
α = 90.00°, β = 90.00°, γ = 90.00°
Space group Im-3 (No. 204)
Asymmetric unit:
Ac  0.000  0.000  0.000 x2
Mn  0.250  0.250  0.250 x8
O  0.000  0.290  0.187 x24

---

# AcMnOsO6

A relaxed structure of AcMnOsO6 (PBE with a Hubbard U, Alexandria via LeMat-Bulk).

Values from the calculation:
Calculated density ... 7.82 g/cm3
Energy ... -7.564 eV per atom
Fermi-level density of states ... 0.374 states/eV/atom

a = 5.8175 Å, b = 5.8175 Å, c = 8.2282 Å
α = 90.00°, β = 90.00°, γ = 120.00°
Space group P-31c (No. 163)
Asymmetric unit:
Ac  0.3333  0.6667  0.2500 x2
Mn  0.0000  0.0000  0.0000 x2
Os  0.3333  0.6667  0.7500 x2
O  0.0775  0.3817  0.6187 x12